Th6Te3OsS2 | PBE-GGA | optimized geometry

```
Th6Te3OsS2
1.0
9.636 -2.068 0.000
9.636 2.068 0.000
-2.736 0.000 8.503
Th Te Os S
6 3 1 2
Cartesian
-0.461 0.000 1.846
5.027 0.000 3.711
4.148 0.000 7.560
12.388 0.000 0.943
11.509 0.000 4.792
16.997 0.000 6.657
0.940 0.000 7.101
8.268 0.000 4.251
15.596 0.000 1.402
9.636 0.000 0.000
2.284 0.000 2.882
14.252 0.000 5.620
```

SG	C2/m
formation energy (no corrections)	-1.243	eV per atom

YTm2Hg5 | PBE-GGA | optimized geometry

```
YTm2Hg5
1.0
-2.585 2.585 7.264
2.585 -2.585 7.264
2.585 2.585 -7.264
Y Tm Hg
1 2 5
Cartesian
0.000 0.000 0.000
0.000 0.000 3.829
0.000 0.000 10.699
2.585 0.000 1.851
2.585 0.000 5.412
0.000 0.000 7.264
0.000 2.585 1.851
0.000 2.585 5.412
```

SG	I4/mmm
ΔH_f (0 K)	-0.417	eV/atom

Dy8ZnSn2 | PBE-GGA | optimized geometry

```
Dy8ZnSn2
1.0
9.595 -2.521 0.000
9.595 2.521 0.000
-1.687 0.000 6.486
Dy Zn Sn
8 1 2
Cartesian
-0.117 0.000 1.816
2.748 0.000 5.298
5.835 0.000 3.257
7.780 0.000 0.184
9.723 0.000 6.303
11.668 0.000 3.230
14.756 0.000 1.188
17.621 0.000 4.670
8.752 0.000 3.243
3.042 0.000 1.662
14.461 0.000 4.824
```

SG	C2/m
ΔH_f (0 K)	-0.318	eV/atom

GdAl2Cu | PBE-GGA | optimized geometry

```
GdAl2Cu
1.0
3.151 0.000 0.000
0.000 3.151 0.000
0.000 0.000 7.349
Gd Al Cu
1 2 1
Cartesian
0.000 0.000 0.000
1.576 1.576 2.257
1.576 1.576 5.092
0.000 0.000 3.674
```

SG	P4/mmm
ΔH_f (0 K)	-0.277	eV/atom

SiRhI3 | PBE-GGA | optimized geometry

```
SiRhI3
1.0
5.360 0.000 0.000
0.000 5.360 0.000
0.000 0.000 5.360
Si Rh I
1 1 3
Cartesian
0.000 0.000 0.000
2.680 2.680 2.680
0.000 2.680 2.680
2.680 0.000 2.680
2.680 2.680 0.000
```

E above lowest polymorph	0	meV per atom
SG	Pm-3m
formation energy (no corrections)	0.533	eV per atom

Ga2Ag2Br7 | PBE-GGA | optimized geometry

```
Ga2Ag2Br7
1.0
5.309 -5.663 0.000
5.309 5.663 0.000
-2.817 0.000 6.429
Ga Ag Br
2 2 7
Cartesian
1.052 0.000 2.572
6.751 0.000 3.857
5.309 2.175 0.000
5.309 -2.175 0.000
-1.408 0.000 3.215
1.810 1.948 1.313
1.810 -1.948 1.313
2.449 0.000 4.623
5.353 0.000 1.806
5.992 1.948 5.117
5.992 -1.948 5.117
```

SG	C2/m
formation energy (no corrections)	-0.532	eV per atom

NbBiRh | PBE-GGA | optimized geometry

```
NbBiRh
1.0
-1.612 1.612 5.904
1.612 -1.612 5.904
1.612 1.612 -5.904
Nb Bi Rh
1 1 1
Cartesian
0.000 0.000 0.000
0.000 0.000 8.187
0.000 0.000 4.533
```

SG	I4mm
ΔH_f (0 K)	-0.034	eV/atom

Cd2Pd5Pt2 | PBE-GGA | optimized geometry

```
Cd2Pd5Pt2
1.0
4.883 0.000 0.000
0.829 4.910 0.000
0.755 1.575 6.116
Cd Pd Pt
2 5 2
Cartesian
0.812 1.963 2.316
5.655 4.522 3.800
2.425 3.389 5.754
3.223 5.825 4.426
3.234 3.243 3.058
3.244 0.660 1.690
4.042 3.096 0.362
1.630 4.338 0.968
4.837 2.147 5.148
```

SG	P-1
ΔH_f (0 K)	-0.203	eV/atom

Pm2Dy6ErMg | PBE-GGA | optimized geometry

```
Pm2Dy6ErMg
1.0
4.940 -9.808 0.000
4.940 9.808 0.000
-1.036 0.000 6.522
Pm Dy Er Mg
4 12 2 2
Cartesian
1.795 1.614 3.248
1.277 -1.614 6.509
7.567 1.614 0.013
7.049 -1.614 3.275
0.138 1.691 6.414
2.908 5.130 1.810
0.656 -1.691 3.153
3.357 2.885 6.340
4.968 2.885 3.444
6.453 5.130 1.451
2.390 -5.130 5.072
3.875 -2.885 3.079
5.486 -2.885 0.182
8.187 1.691 3.370
5.935 -5.130 4.712
8.705 -1.691 0.109
4.681 0.136 1.631
4.163 -0.136 4.892
4.163 5.760 4.892
4.681 -5.760 1.631
```

SG	C2/c
ΔH_f (0 K)	0.104	eV/atom

CeTmAlIn | PBE-GGA | optimized geometry

```
CeTmAlIn
1.0
3.349 0.000 0.000
0.000 3.349 0.000
0.000 0.000 8.804
Ce Tm Al In
1 1 1 1
Cartesian
0.000 0.000 0.000
0.000 0.000 4.680
1.675 1.675 6.667
1.675 1.675 2.405
```

E above lowest polymorph	0	meV per atom
SG	P4mm
ΔH_f (0 K)	-0.369	eV/atom

CsSnGe3 | PBE-GGA | optimized geometry

```
CsSnGe3
1.0
5.536 0.000 0.000
0.000 5.536 0.000
0.000 0.000 5.536
Cs Sn Ge
1 1 3
Cartesian
0.000 0.000 0.000
2.768 2.768 2.768
0.000 2.768 2.768
2.768 0.000 2.768
2.768 2.768 0.000
```

E above lowest polymorph	0	meV per atom
SG	Pm-3m
ΔH_f (0 K)	0.592	eV/atom

BaHg2Mo | PBE-GGA | optimized geometry

```
BaHg2Mo
1.0
3.480 -4.399 0.000
3.480 4.399 0.000
0.000 0.000 3.201
Ba Hg Mo
1 2 1
Cartesian
0.000 0.000 0.000
1.740 2.199 1.600
1.740 -2.199 1.600
3.480 0.000 0.000
```

E above lowest polymorph	255	meV per atom
SG	Cmmm
ΔH_f (0 K)	0.619	eV/atom